(1)
A plane-wave DFT calculation with GGA-PBE was carried out for a geometry-optimized DyPuTe structure.

extended XYZ file:
```
6
Lattice="3.902 0.000 0.000 0.000 4.010 0.000 -1.137 0.000 10.376" Properties=species:S:1:pos:R:3 pbc="T T T"
Dy 0.406 1.003 2.524
Dy 2.359 3.008 7.852
Pu 0.393 1.003 9.978
Pu 2.373 3.008 0.398
Te 0.423 1.003 6.679
Te 2.343 3.008 3.697
```

Calculated values
Excess energy over the best structure of this formula in the dataset = 42 meV per atom
Symmetry = No. 11

***

(2)
A plane-wave DFT calculation with GGA-PBE was carried out for a geometry-optimized Dy2PuTe5 structure.

extended XYZ file:
```
16
Lattice="-4.061 4.061 7.095 4.061 -4.061 7.095 4.061 4.061 -7.095" Properties=species:S:1:pos:R:3 pbc="T T T"
Dy 5.294 1.232 0.000
Dy 1.232 2.829 0.000
Dy 2.829 1.232 7.095
Dy -1.232 2.829 7.095
Pu 0.000 0.000 3.548
Pu 0.000 0.000 10.643
Te 0.000 0.000 0.000
Te 2.783 1.278 -2.121
Te 2.783 -1.278 4.975
Te 2.783 1.278 2.121
Te 2.783 -1.278 9.216
Te 0.000 0.000 7.095
Te 1.278 5.339 -2.121
Te 1.278 2.783 4.975
Te 1.278 5.339 2.121
Te 1.278 2.783 9.216
```

Calculated values
Symmetry = No. 140

***

(3)
A plane-wave DFT calculation with GGA-PBE was carried out for a geometry-optimized Dy3Pu4Te8 structure.

extended XYZ file:
```
15
Lattice="6.196 -6.196 0.000 6.196 6.196 0.000 -6.164 0.000 6.204" Properties=species:S:1:pos:R:3 pbc="T T T"
Dy 0.000 0.000 0.000
Dy 0.016 3.098 3.102
Dy 0.016 -3.098 3.102
Pu -3.082 0.000 3.102
Pu 3.098 3.098 0.000
Pu 3.098 -3.098 0.000
Pu 6.196 0.000 0.000
Te 6.196 3.119 0.000
Te 3.064 0.000 0.059
Te 0.109 0.000 3.075
Te 3.114 3.031 3.102
Te 3.114 -3.031 3.102
Te 6.120 0.000 3.128
Te 3.165 0.000 6.145
Te 6.196 -3.119 0.000
```

Calculated values
Symmetry = No. 12

***

Computed values of size of the total moment (unit: Bohr magnetons per cell) for the preceding records, in sequence: 1.559; 9.036; 11.473.
Computed values of formation energy (no corrections) (unit: kcal/mol of atoms) for the preceding records, in sequence: -11.65; -24.79; -27.70.